Entry from Alexandria via LeMat-Bulk: CuReSb after structural relaxation (PBE).

abc: 4.6317 4.6317 2.7670
angles: 90.00 90.00 120.00
Closest atoms and distances in Å follow each position.
Fractional coordinates of all 3 atoms:
Cu: 0.0000 0.0000 0.0000  2 Cu 2.77, 6 Sb 2.97-3.06, 6 Re 3.01-3.02
Re: 0.6667 0.3333 0.5040  3 Sb 2.68, 2 Re 2.77
Sb: 0.3333 0.6667 0.5349  3 Re 2.68, 2 Sb 2.77, 3 Cu 2.97

Calculated values
E_form (uncorrected), eV per atom: 0.68
Polymorph energy (0 for the lowest one), meV per atom: 185.3